(1)
Computed, not measured: a relaxed Mg2TlIrOs crystal at the GGA-PBE level of DFT.

Results
Crystal system: tetragonal
Calculated formation energy: 302 kJ/mol of formula units

a b c (Å): 5.0587 5.0587 4.7038
angles (deg): 90.00 90.00 90.00
Space group P4/mmm (No. 123)
One atom of each set of equivalent atoms:
Mg 0.0000 0.5000 0.0000 (multiplicity 2)
Tl 0.0000 0.0000 0.5000 (multiplicity 1)
Ir 0.5000 0.5000 0.5000 (multiplicity 1)
Os 0.5000 0.5000 0.0000 (multiplicity 1)



(2)
Computed, not measured: a relaxed CeDy4Ag5 crystal at the GGA-PBE level of DFT.

Results
Crystal system: tetragonal
Calculated formation energy: -260 kJ/mol of formula units

a b c (Å): 3.6087 3.6087 18.7179
angles (deg): 90.00 90.00 90.00
Space group P4/mmm (No. 123)
One atom of each set of equivalent atoms:
Ce 0.0000 0.0000 0.0000 (multiplicity 1)
Dy 0.0000 0.0000 0.2045 (multiplicity 2)
Dy 0.0000 0.0000 0.4014 (multiplicity 2)
Ag 0.5000 0.5000 0.1103 (multiplicity 2)
Ag 0.5000 0.5000 0.3029 (multiplicity 2)
Ag 0.5000 0.5000 0.5000 (multiplicity 1)



(3)
Computed, not measured: a relaxed LiCe2PuSe4 crystal at the GGA-PBE level of DFT.

Results
ΔE_f (raw): -13.1 eV per formula unit
Crystal system: monoclinic

a b c (Å): 7.1403 4.1700 7.2432
angles (deg): 90.00 109.87 90.00
Space group P2/m (No. 10)
One atom of each set of equivalent atoms:
Li 0.0000 0.0000 0.0000 (multiplicity 1)
Ce 0.5000 0.0000 0.5000 (multiplicity 1)
Ce 0.5000 0.5000 0.0000 (multiplicity 1)
Pu 0.0000 0.5000 0.5000 (multiplicity 1)
Se 0.2394 0.5000 0.2410 (multiplicity 2)
Se 0.2405 0.0000 0.7522 (multiplicity 2)